Entry 1:
Here is a relaxed structure of Ac8SiS6 from the Alexandria database. Energies are from GGA-PBE.

abc: 4.367 11.084 11.084
angles: 120.00 90.00 90.00
Sites, in units of the cell vectors:
Ac: 0.745 0.963 0.288
Ac: 0.745 0.712 0.675
Ac: 0.745 0.325 0.037
Ac: 0.255 0.037 0.712
Ac: 0.255 0.288 0.325
Ac: 0.255 0.675 0.963
Ac: 0.750 0.333 0.667
Ac: 0.250 0.667 0.333
Si: 0.500 0.000 0.000
S: 0.750 0.645 0.132
S: 0.750 0.868 0.513
S: 0.750 0.487 0.355
S: 0.250 0.355 0.868
S: 0.250 0.132 0.487
S: 0.250 0.513 0.645

Density of states at the Fermi level, states/eV/cell: 11.961
ΔE_f (raw), meV/atom: -1431
Crystal system: trigonal
Electronic total energy, eV per atom: -5.63
Size of the total moment, Bohr magnetons per cell: 0.0

***

Entry 2:
Here is a relaxed structure of VMoI3 from the Alexandria database. Energies are from GGA-PBE.

abc: 5.561 5.561 5.561
angles: 90.00 90.00 90.00
Each line ends with the local moment (μB).
Sites, in units of the cell vectors:
I: 0.000 0.500 0.000  -0.01
I: 0.000 0.000 0.500  -0.01
I: 0.500 0.000 0.000  -0.01
Mo: 0.500 0.500 0.500  4.05
V: 0.000 0.000 0.000  2.53

E above lowest polymorph, kJ per mole of atoms: 0.0
Density of states at the Fermi level, states/eV/cell: 4.736
ΔE_f (raw), meV/atom: 747
Crystal system: cubic
Electronic total energy, eV per atom: -4.17
Size of the total moment, Bohr magnetons per cell: 8.0

***

Entry 3:
Here is a relaxed structure of LiMg3In4 from the Alexandria database. Energies are from GGA-PBE.

abc: 5.181 5.245 10.675
angles: 137.53 104.05 90.00
Sites, in units of the cell vectors:
Li: 0.000 0.000 0.000
Mg: 0.249 0.746 0.498
Mg: 0.751 0.254 0.502
Mg: 0.500 0.500 0.000
In: 0.123 0.868 0.245
In: 0.877 0.132 0.755
In: 0.622 0.368 0.245
In: 0.378 0.632 0.755

Density of states at the Fermi level, states/eV/cell: 2.921
Crystal system: monoclinic
E_form, eV per atom: -0.12
Electronic total energy, eV per atom: -2.33
Size of the total moment, Bohr magnetons per cell: 0.0

***

Entry 4:
Here is a relaxed structure of BaRe2Si from the Alexandria database. Energies are from GGA-PBE.

abc: 5.984 5.984 5.984
angles: 149.74 121.70 67.10
Sites, in units of the cell vectors:
Ba: 0.260 0.760 0.500
Re: 0.940 0.940 0.000
Re: 0.754 0.254 0.500
Si: 0.546 0.546 0.000

Density of states at the Fermi level, states/eV/cell: 3.235
ΔE_f (raw), meV/atom: 1013
Crystal system: orthorhombic
Electronic total energy, eV per atom: -7.05
Size of the total moment, Bohr magnetons per cell: 0.0

***

Entry 5:
Here is a relaxed structure of Nd4CdHg2Pt from the Alexandria database. Energies are from GGA-PBE.

abc: 5.357 5.357 9.227
angles: 73.13 73.13 60.00
Sites, in units of the cell vectors:
Nd: 0.385 0.385 0.844
Nd: 0.868 0.868 0.396
Nd: 0.132 0.132 0.604
Nd: 0.615 0.615 0.156
Cd: 0.000 0.000 0.000
Hg: 0.739 0.739 0.784
Hg: 0.261 0.261 0.216
Pt: 0.500 0.500 0.500

Density of states at the Fermi level, states/eV/cell: 6.890
Crystal system: trigonal
E_form, eV per atom: -0.59
Electronic total energy, eV per atom: -3.92
Size of the total moment, Bohr magnetons per cell: 0.0

***

Entry 6:
Here is a relaxed structure of ScTcAsSe2 from the Alexandria database. Energies are from GGA-PBE.

abc: 5.031 5.031 4.610
angles: 90.00 90.00 90.00
Each line ends with the local moment (μB).
Sites, in units of the cell vectors:
Sc: 0.500 0.500 0.500  0.06
As: 0.000 0.000 0.500  -0.03
Tc: 0.000 0.000 0.000  0.61
Se: 0.000 0.500 0.000  0.02
Se: 0.500 0.000 0.000  0.02

E above lowest polymorph, kJ per mole of atoms: 0.0
Density of states at the Fermi level, states/eV/cell: 5.247
ΔE_f (raw), meV/atom: 77
Crystal system: tetragonal
Electronic total energy, eV per atom: -5.59
Size of the total moment, Bohr magnetons per cell: 0.8

***

Which value of density of states at the Fermi level does entry 4 give?
3.235 states/eV/cell